(1)
# CeCuNi, relaxed, DFT PBE-GGA
data_CeCuNi
_chemical_formula_sum 'Ce3 Cu3 Ni3'
_cell_length_a 6.8694
_cell_length_b 6.8694
_cell_length_c 3.8444
_cell_angle_alpha 90.00
_cell_angle_beta 90.00
_cell_angle_gamma 120.00
_space_group_name_H-M_alt 'P -6 2 m'
_space_group_IT_number 189
_space_group_name_Hall 'P -6 -2'
loop_
_atom_site_label
_atom_site_type_symbol
_atom_site_fract_x
_atom_site_fract_y
_atom_site_fract_z
_atom_site_occupancy
Ce1 Ce 0.0000 0.5917 0.0000 1
Cu1 Cu 0.0000 0.2325 0.5000 1
Ni1 Ni 0.0000 0.0000 0.0000 1
Ni2 Ni 0.3333 0.6667 0.5000 1
# D(E_F)	12.53	states/eV per cell
# magnetic moment	0.0	μB/cell
# E_form	-262	meV/atom

=====

(2)
# Ce2CuNi, relaxed, DFT PBE-GGA
data_Ce2CuNi
_chemical_formula_sum 'Ce6 Cu3 Ni3'
_cell_length_a 2.9452
_cell_length_b 2.9452
_cell_length_c 30.8813
_cell_angle_alpha 90.00
_cell_angle_beta 90.00
_cell_angle_gamma 120.00
_space_group_name_H-M_alt 'R -3 m'
_space_group_IT_number 166
_space_group_name_Hall '-R 3 2"'
loop_
_atom_site_label
_atom_site_type_symbol
_atom_site_fract_x
_atom_site_fract_y
_atom_site_fract_z
_atom_site_occupancy
Ce1 Ce 0.0000 0.0000 0.0920 1
Cu1 Cu 0.0000 0.0000 0.0000 1
Ni1 Ni 0.0000 0.0000 0.5000 1
# D(E_F)	24.83	states/eV per cell
# magnetic moment	0.0	μB/cell
# E_form	340	meV/atom

=====

(3)
# Ce3CuNi2, relaxed, DFT PBE-GGA
data_Ce3CuNi2
_chemical_formula_sum 'Ce12 Cu4 Ni8'
_cell_length_a 6.7297
_cell_length_b 9.1208
_cell_length_c 7.5929
_cell_angle_alpha 90.00
_cell_angle_beta 90.22
_cell_angle_gamma 90.00
_space_group_name_H-M_alt 'P 1 21/c 1'
_space_group_IT_number 14
_space_group_name_Hall '-P 2ybc'
loop_
_atom_site_label
_atom_site_type_symbol
_atom_site_fract_x
_atom_site_fract_y
_atom_site_fract_z
_atom_site_occupancy
Ce1 Ce 0.1452 0.1192 0.0791 1
Ce2 Ce 0.2596 0.6542 0.7668 1
Ce3 Ce 0.2670 0.0733 0.7260 1
Cu1 Cu 0.4338 0.1441 0.3944 1
Ni1 Ni 0.0366 0.1193 0.4235 1
Ni2 Ni 0.4447 0.6229 0.4349 1
# D(E_F)	47.80	states/eV per cell
# magnetic moment	0.0	μB/cell
# E_form	-205	meV/atom

=====

(4)
# Ce2Cu15Ni2, relaxed, DFT PBE-GGA
data_Ce2Cu15Ni2
_chemical_formula_sum 'Ce6 Cu45 Ni6'
_cell_length_a 8.6109
_cell_length_b 8.6109
_cell_length_c 12.3611
_cell_angle_alpha 90.00
_cell_angle_beta 90.00
_cell_angle_gamma 120.00
_space_group_name_H-M_alt 'R -3 m'
_space_group_IT_number 166
_space_group_name_Hall '-R 3 2"'
loop_
_atom_site_label
_atom_site_type_symbol
_atom_site_fract_x
_atom_site_fract_y
_atom_site_fract_z
_atom_site_occupancy
Ce1 Ce 0.0000 0.0000 0.1690 1
Cu1 Cu 0.0000 0.2890 0.5000 1
Cu2 Cu 0.0000 0.5000 0.0000 1
Cu3 Cu 0.0005 0.5003 0.6530 1
Ni1 Ni 0.0000 0.0000 0.3992 1
# D(E_F)	47.24	states/eV per cell
# magnetic moment	3.1	μB/cell
# E_form	-78	meV/atom

=====

(5)
# CeCu2Ni, relaxed, DFT PBE-GGA
data_CeCu2Ni
_chemical_formula_sum 'Ce4 Cu8 Ni4'
_cell_length_a 4.0904
_cell_length_b 9.1322
_cell_length_c 6.9182
_cell_angle_alpha 90.00
_cell_angle_beta 90.00
_cell_angle_gamma 90.00
_space_group_name_H-M_alt 'C m c m'
_space_group_IT_number 63
_space_group_name_Hall '-C 2c 2'
loop_
_atom_site_label
_atom_site_type_symbol
_atom_site_fract_x
_atom_site_fract_y
_atom_site_fract_z
_atom_site_occupancy
Ce1 Ce 0.0000 0.0690 0.2500 1
Cu1 Cu 0.0000 0.3577 0.0567 1
Ni1 Ni 0.0000 0.2089 0.7500 1
# D(E_F)	16.06	states/eV per cell
# magnetic moment	0.0	μB/cell
# E_form	-225	meV/atom

=====

(6)
# CeCuNi2, relaxed, DFT PBE-GGA
data_CeCuNi2
_chemical_formula_sum 'Ce4 Cu4 Ni8'
_cell_length_a 4.3964
_cell_length_b 4.3910
_cell_length_c 16.1707
_cell_angle_alpha 90.00
_cell_angle_beta 90.00
_cell_angle_gamma 90.00
_space_group_name_H-M_alt 'P m m a'
_space_group_IT_number 51
_space_group_name_Hall '-P 2a 2a'
loop_
_atom_site_label
_atom_site_type_symbol
_atom_site_fract_x
_atom_site_fract_y
_atom_site_fract_z
_atom_site_occupancy
Ce1 Ce 0.2500 0.0000 0.1239 1
Ce2 Ce 0.2500 0.5000 0.3746 1
Cu1 Cu 0.2500 0.0000 0.6249 1
Cu2 Cu 0.2500 0.5000 0.8749 1
Ni1 Ni 0.0000 0.0000 0.5000 1
Ni2 Ni 0.0000 0.5000 0.0000 1
Ni3 Ni 0.2500 0.2499 0.7499 1
# D(E_F)	36.74	states/eV per cell
# magnetic moment	0.0	μB/cell
# E_form	122	meV/atom

=====

(7)
# CeCu6Ni6, relaxed, DFT PBE-GGA
data_CeCu6Ni6
_chemical_formula_sum 'Ce2 Cu12 Ni12'
_cell_length_a 4.7793
_cell_length_b 8.3207
_cell_length_c 8.3493
_cell_angle_alpha 90.00
_cell_angle_beta 90.00
_cell_angle_gamma 90.00
_space_group_name_H-M_alt 'I m m m'
_space_group_IT_number 71
_space_group_name_Hall '-I 2 2'
loop_
_atom_site_label
_atom_site_type_symbol
_atom_site_fract_x
_atom_site_fract_y
_atom_site_fract_z
_atom_site_occupancy
Ce1 Ce 0.0000 0.0000 0.0000 1
Cu1 Cu 0.0000 0.0000 0.3556 1
Cu2 Cu 0.0000 0.3519 0.0000 1
Cu3 Cu 0.0000 0.5000 0.2769 1
Ni1 Ni 0.0000 0.2820 0.5000 1
Ni2 Ni 0.2500 0.2500 0.2500 1
# D(E_F)	21.48	states/eV per cell
# magnetic moment	0.0	μB/cell
# E_form	-109	meV/atom

=====

(8)
# CeCu8Ni4, relaxed, DFT PBE-GGA
data_CeCu8Ni4
_chemical_formula_sum 'Ce2 Cu16 Ni8'
_cell_length_a 8.3394
_cell_length_b 8.3394
_cell_length_c 4.8699
_cell_angle_alpha 90.00
_cell_angle_beta 90.00
_cell_angle_gamma 90.00
_space_group_name_H-M_alt 'I 4/m m m'
_space_group_IT_number 139
_space_group_name_Hall '-I 4 2'
loop_
_atom_site_label
_atom_site_type_symbol
_atom_site_fract_x
_atom_site_fract_y
_atom_site_fract_z
_atom_site_occupancy
Ce1 Ce 0.0000 0.0000 0.0000 1
Cu1 Cu 0.0000 0.2237 0.5000 1
Cu2 Cu 0.0000 0.3520 0.0000 1
Ni1 Ni 0.2500 0.2500 0.2500 1
# D(E_F)	18.69	states/eV per cell
# magnetic moment	0.4	μB/cell
# E_form	-93	meV/atom